VASP calculation (GGA-PBE) on LiO after structural relaxation.

Unit cell a=3.4712 b=3.4712 c=3.9586 alpha=90.00 beta=90.00 gamma=120.00
Space group P6_3/mmc (No. 194)
Inequivalent atoms, fractional coordinates:
Li  0.3333  0.6667  0.2500
O  0.3333  0.6667  0.7500

Summary:
energy relative to the lowest polymorph listed for this composition	399	meV per atom
formation energy (no corrections)	-1.00	eV/atom